No. 1
VASP calculation (PBE) on a relaxed RbMn2SnBr8 crystal.

It has space group P-3 (No. 147), with a = 7.0161 Å, b = 7.0161 Å, c = 10.0925 Å, α = 90.00°, β = 90.00° and γ = 120.00°. The asymmetric unit holds Rb at (0.0000, 0.0000, 0.0000), Mn at (0.3333, 0.6667, 0.7426), Sn at (0.0000, 0.0000, 0.5000), Br at (0.0031, 0.6771, 0.3270) and Br at (0.3333, 0.6667, 0.9806).

Its uncorrected formation energy is -887 meV per atom. Its calculated volume is 35.85 Å³ per atom. The value obtained for the raw total energy is -3.945 eV/atom.


No. 2
VASP calculation (PBE) on a relaxed La2MgTlOs crystal.

It has space group P4/mmm (No. 123), with a = 5.4744 Å, b = 5.4744 Å, c = 5.2313 Å, α = 90.00°, β = 90.00° and γ = 90.00°. The asymmetric unit holds La at (0.0000, 0.5000, 0.0000), Mg at (0.0000, 0.0000, 0.5000), Tl at (0.5000, 0.5000, 0.5000) and Os at (0.0000, 0.0000, 0.0000).

Its calculated volume is 31.36 Å³ per atom. The value obtained for the raw total energy is -5.123 eV/atom. The value obtained for the formation energy is -55 kJ/mol of formula units.


No. 3
VASP calculation (PBE) on a relaxed Ac8Sn4Bi3 crystal.

It has space group C2/m (No. 12), with a = 13.6759 Å, b = 13.6963 Å, c = 9.6566 Å, α = 90.00°, β = 134.83° and γ = 90.00°. The asymmetric unit holds Ac at (0.0000, 0.2409, 0.0000), Ac at (0.0000, 0.2513, 0.5000), Ac at (0.2435, 0.0000, 0.0062), Ac at (0.2441, 0.0000, 0.4841), Sn at (0.0000, 0.0000, 0.0000), Sn at (0.0000, 0.5000, 0.5000), Sn at (0.2500, 0.2500, 0.5000), Bi at (0.0000, 0.0000, 0.5000) and Bi at (0.2500, 0.2500, 0.0000).

Its calculated volume is 42.76 Å³ per atom. The value obtained for the raw total energy is -4.704 eV/atom. The value obtained for the formation energy is -969 kJ/mol of formula units.


No. 4
VASP calculation (PBE) on a relaxed YHf2Ni9 crystal.

It has space group R-3m (No. 166, hexagonal axes), with a = 4.8815 Å, b = 4.8815 Å, c = 23.7535 Å, α = 90.00°, β = 90.00° and γ = 120.00°. The asymmetric unit holds Y at (0.0000, 0.0000, 0.0000), Hf at (0.0000, 0.0000, 0.1402), Ni at (0.0000, 0.0000, 0.3337), Ni at (0.0000, 0.0000, 0.5000) and Ni at (0.0050, 0.5025, 0.9141).

Its calculated volume is 13.62 Å³ per atom. The value obtained for the raw total energy is -6.984 eV/atom. The value obtained for the formation energy is -522 kJ/mol of formula units.


No. 5
VASP calculation (PBE) on a relaxed SrTcN2 crystal.

It has space group Pnma (No. 62), with a = 5.6567 Å, b = 3.6126 Å, c = 10.8163 Å, α = 90.00°, β = 90.00° and γ = 90.00°. The asymmetric unit holds Sr at (0.1023, 0.2500, 0.1331), Tc at (0.0930, 0.7500, 0.3764), N at (0.1477, 0.2500, 0.7483) and N at (0.1608, 0.2500, 0.4621).

Its uncorrected formation energy is -373 meV per atom. Its calculated volume is 13.81 Å³ per atom. The value obtained for the raw total energy is -7.548 eV/atom.


No. 6
VASP calculation (PBE) on a relaxed Er12Sn6C crystal.

It has space group R-3 (No. 148, hexagonal axes), with a = 11.7471 Å, b = 11.7471 Å, c = 13.6337 Å, α = 90.00°, β = 90.00° and γ = 120.00°. The asymmetric unit holds Er at (0.0283, 0.8418, 0.3881), Er at (0.0298, 0.1808, 0.8948), Sn at (0.0031, 0.6199, 0.2486) and C at (0.0000, 0.0000, 0.0000).

Its calculated volume is 28.58 Å³ per atom. The value obtained for the raw total energy is -5.149 eV/atom. The value obtained for the formation energy is -949 kJ/mol of formula units.


No. 7
VASP calculation (PBE) on a relaxed SnTe2Au crystal.

It has space group R-3m (No. 166, hexagonal axes), with a = 4.6012 Å, b = 4.6012 Å, c = 24.9530 Å, α = 90.00°, β = 90.00° and γ = 120.00°. The asymmetric unit holds Sn at (0.0000, 0.0000, 0.0000), Te at (0.0000, 0.0000, 0.3968) and Au at (0.0000, 0.0000, 0.5000).

Its uncorrected formation energy is -44 meV per atom. Its calculated volume is 38.13 Å³ per atom. The value obtained for the raw total energy is -3.435 eV/atom.


No. 8
VASP calculation (PBE) on a relaxed KRb2IrO6 crystal.

It has space group Fm-3m (No. 225), with a = 9.0047 Å, b = 9.0047 Å, c = 9.0047 Å, α = 90.00°, β = 90.00° and γ = 90.00°. The asymmetric unit holds K at (0.0000, 0.0000, 0.0000), Rb at (0.2500, 0.2500, 0.2500), Ir at (0.0000, 0.0000, 0.5000) and O at (0.0000, 0.0000, 0.2927).

Its uncorrected formation energy is -1003 meV per atom. Its calculated volume is 18.25 Å³ per atom. The value obtained for the raw total energy is -5.168 eV/atom.